[1]
A plane-wave DFT calculation with PBE-GGA was carried out for a relaxed SnSbPd5 crystal.

Properties
Space-group type: C2/c (15)

Cell: 6.2928 6.2928 9.2967 Å, 61.81 61.81 96.03°
Sites, in units of the cell vectors:
1 Pd 0.3027 0.6973 0.7500
2 Pd 0.3104 0.1947 0.6143
3 Pd 0.8854 0.4168 0.4209
4 Pd 0.6896 0.8053 0.3857
5 Pd 0.1146 0.5832 0.5791
6 Sn 0.5905 0.4095 0.7500
7 Pd 0.8053 0.6896 0.8857
8 Pd 0.4168 0.8854 0.9209
9 Sb 0.0000 0.0000 0.5000
10 Pd 0.6973 0.3027 0.2500
11 Pd 0.5832 0.1146 0.0791
12 Sb 0.0000 0.0000 0.0000
13 Pd 0.1947 0.3104 0.1143
14 Sn 0.4095 0.5905 0.2500

***

[2]
A plane-wave DFT calculation with PBE-GGA was carried out for a relaxed Sr2InPbO6 crystal.

Properties
Space-group type: P2_1/c (14)

Cell: 5.9389 6.0566 8.3702 Å, 90.00 90.23 90.00°
Sites, in units of the cell vectors:
1 O 0.5989 0.0396 0.2512
2 O 0.7955 0.7910 0.9486
3 O 0.9011 0.5396 0.2488
4 O 0.2045 0.2090 0.0514
5 O 0.2938 0.7083 0.0528
6 O 0.7045 0.2910 0.5514
7 Sr 0.4868 0.4517 0.2509
8 O 0.7062 0.2917 0.9472
9 Pb 0.0000 0.5000 0.5000
10 O 0.2955 0.7090 0.4486
11 Sr 0.9868 0.0483 0.7509
12 In 0.5000 0.0000 0.5000
13 O 0.7938 0.7917 0.5528
14 Sr 0.5132 0.5483 0.7491
15 O 0.0989 0.4604 0.7512
16 Pb 0.5000 0.0000 0.0000
17 Sr 0.0132 0.9517 0.2491
18 O 0.4011 0.9604 0.7488
19 In 0.0000 0.5000 0.0000
20 O 0.2062 0.2083 0.4472

***

[3]
A plane-wave DFT calculation with PBE-GGA was carried out for a relaxed LiThHgI6 crystal.

Properties
Space-group type: P1 (1)

Cell: 7.7459 7.7458 7.3287 Å, 89.93 90.07 59.96°
Sites, in units of the cell vectors:
1 I 0.3580 0.9939 0.7390
2 I 0.6489 0.3571 0.7383
3 I 0.9945 0.6479 0.7386
4 I 0.6471 0.9945 0.2610
5 Th 0.3332 0.3332 0.5002
6 Hg 0.9996 0.9996 0.0008
7 I 0.9939 0.3586 0.2606
8 Li 0.6669 0.6670 0.5000
9 I 0.3577 0.6483 0.2613

***

What did we get for N(E_F)? Answer: 0.433, 1.134, 0.534 states/eV per atom, in the order shown.
What did we get for uncorrected formation energy? Answer: -213, -1748, -920 meV per atom, in the order shown.